[1]
{
  "formula": "Rb2LaOF6",
  "functional": "GGA-PBE",
  "state": "optimized geometry",
  "lattice": [[-3.243, 3.243, 4.601], [3.243, -3.243, 4.601], [3.243, 3.243, -4.601]],
  "species": ["Rb", "Rb", "La", "O", "F", "F", "F", "F", "F", "F"],
  "fractional_positions": [[0.250, 0.750, 0.500], [0.750, 0.250, 0.500], [0.000, 0.000, 0.000], [0.500, 0.500, 0.000], [0.250, 0.250, 0.000], [0.250, 0.250, 0.501], [0.250, 0.750, 0.000], [0.750, 0.250, 0.000], [0.750, 0.750, 0.000], [0.750, 0.750, 0.499]],
  "density_g_cm3": 3.8,
  "sg": "No. 139",
  "e_form_raw_ev_per_atom": -2.479
}


[2]
{
  "formula": "RbLaOF2",
  "functional": "GGA-PBE",
  "state": "optimized geometry",
  "lattice": [[4.860, 0.000, 0.000], [0.000, 4.860, 0.000], [0.000, 0.000, 4.545]],
  "species": ["Rb", "La", "O", "F", "F"],
  "fractional_positions": [[0.000, 0.000, 0.000], [0.500, 0.500, 0.500], [0.500, 0.500, 0.000], [0.000, 0.500, 0.500], [0.500, 0.000, 0.500]],
  "density_g_cm3": 4.3,
  "e_above_lowest_polymorph_mev_per_atom": 0,
  "sg": "No. 123",
  "e_form_raw_ev_per_atom": -3.242
}


[3]
{
  "formula": "LaRhO2F",
  "functional": "GGA-PBE",
  "state": "optimized geometry",
  "lattice": [[4.629, 0.000, 0.000], [0.000, 4.629, 0.000], [0.000, 0.000, 4.551]],
  "species": ["La", "Rh", "O", "O", "F"],
  "fractional_positions": [[0.000, 0.000, 0.000], [0.500, 0.500, 0.500], [0.000, 0.500, 0.000], [0.500, 0.000, 0.000], [0.000, 0.000, 0.500]],
  "density_g_cm3": 5.0,
  "sg": "No. 123",
  "e_form_raw_ev_per_atom": -1.218
}


[4]
{
  "formula": "LaRhO2F",
  "functional": "GGA-PBE",
  "state": "optimized geometry",
  "lattice": [[4.112, 0.000, 0.000], [0.000, 4.112, 0.000], [0.000, 0.000, 4.085]],
  "species": ["La", "Rh", "O", "O", "F"],
  "fractional_positions": [[0.000, 0.000, 0.000], [0.500, 0.500, 0.500], [0.000, 0.500, 0.500], [0.500, 0.000, 0.500], [0.500, 0.500, 0.000]],
  "density_g_cm3": 7.0,
  "sg": "No. 123",
  "e_form_raw_ev_per_atom": -1.820
}


[5]
{
  "formula": "LaRuO2F",
  "functional": "GGA-PBE",
  "state": "optimized geometry",
  "lattice": [[4.621, 0.000, 0.000], [0.000, 4.621, 0.000], [0.000, 0.000, 4.545]],
  "species": ["La", "Ru", "O", "O", "F"],
  "fractional_positions": [[0.000, 0.000, 0.000], [0.500, 0.500, 0.500], [0.000, 0.500, 0.000], [0.500, 0.000, 0.000], [0.000, 0.000, 0.500]],
  "density_g_cm3": 5.0,
  "sg": "No. 123",
  "e_form_raw_ev_per_atom": -1.085
}


[6]
{
  "formula": "LaRuOF2",
  "functional": "GGA-PBE",
  "state": "optimized geometry",
  "lattice": [[4.178, 0.000, 0.000], [0.000, 4.178, 0.000], [0.000, 0.000, 4.170]],
  "species": ["La", "Ru", "O", "F", "F"],
  "fractional_positions": [[0.000, 0.000, 0.000], [0.500, 0.500, 0.500], [0.500, 0.500, 0.000], [0.000, 0.500, 0.500], [0.500, 0.000, 0.500]],
  "density_g_cm3": 6.7,
  "e_above_lowest_polymorph_mev_per_atom": 11,
  "sg": "No. 123",
  "e_form_raw_ev_per_atom": -1.607
}


[7]
{
  "formula": "LaRuO4F",
  "functional": "GGA-PBE",
  "state": "optimized geometry",
  "lattice": [[4.971, -3.799, 0.000], [4.971, 3.799, 0.000], [-1.966, 0.000, 6.901]],
  "species": ["La", "La", "Ru", "Ru", "O", "O", "O", "O", "O", "O", "O", "O", "F", "F"],
  "fractional_positions": [[0.204, 0.204, 0.104], [0.796, 0.796, 0.896], [0.351, 0.351, 0.715], [0.649, 0.649, 0.285], [0.124, 0.476, 0.856], [0.254, 0.254, 0.470], [0.467, 0.467, 0.252], [0.476, 0.124, 0.856], [0.524, 0.876, 0.144], [0.533, 0.533, 0.748], [0.746, 0.746, 0.530], [0.876, 0.524, 0.144], [0.014, 0.014, 0.826], [0.986, 0.986, 0.174]],
  "density_g_cm3": 4.1,
  "sg": "No. 12",
  "e_form_raw_ev_per_atom": -2.058
}


[8]
{
  "formula": "LaRuOF2",
  "functional": "GGA-PBE",
  "state": "optimized geometry",
  "lattice": [[4.649, 0.000, 0.000], [0.000, 4.649, 0.000], [0.000, 0.000, 4.694]],
  "species": ["La", "Ru", "O", "F", "F"],
  "fractional_positions": [[0.000, 0.000, 0.000], [0.500, 0.500, 0.500], [0.000, 0.000, 0.500], [0.000, 0.500, 0.000], [0.500, 0.000, 0.000]],
  "density_g_cm3": 4.8,
  "e_above_lowest_polymorph_mev_per_atom": 0,
  "sg": "No. 123",
  "e_form_raw_ev_per_atom": -1.617
}


[9]
{
  "formula": "LaRuOF2",
  "functional": "GGA-PBE",
  "state": "optimized geometry",
  "lattice": [[4.403, 0.000, 0.000], [0.000, 4.403, 0.000], [0.000, 0.000, 5.947]],
  "species": ["La", "Ru", "O", "F", "F"],
  "fractional_positions": [[0.000, 0.000, 0.000], [0.000, 0.000, 0.500], [0.500, 0.500, 0.500], [0.000, 0.500, 0.000], [0.500, 0.000, 0.000]],
  "density_g_cm3": 4.2,
  "e_above_lowest_polymorph_mev_per_atom": 525,
  "sg": "No. 123",
  "e_form_raw_ev_per_atom": -1.092
}


[10]
{
  "formula": "LaRuO2F",
  "functional": "GGA-PBE",
  "state": "optimized geometry",
  "lattice": [[4.091, 0.000, 0.000], [0.000, 4.091, 0.000], [0.000, 0.000, 4.039]],
  "species": ["La", "Ru", "O", "O", "F"],
  "fractional_positions": [[0.000, 0.000, 0.000], [0.500, 0.500, 0.500], [0.000, 0.500, 0.500], [0.500, 0.000, 0.500], [0.500, 0.500, 0.000]],
  "density_g_cm3": 7.1,
  "sg": "No. 123",
  "e_form_raw_ev_per_atom": -1.781
}


[11]
{
  "formula": "LaSOF2",
  "functional": "GGA-PBE",
  "state": "optimized geometry",
  "lattice": [[4.680, 0.000, 0.000], [0.000, 4.680, 0.000], [0.000, 0.000, 4.739]],
  "species": ["La", "S", "O", "F", "F"],
  "fractional_positions": [[0.000, 0.000, 0.000], [0.500, 0.500, 0.500], [0.000, 0.000, 0.500], [0.000, 0.500, 0.000], [0.500, 0.000, 0.000]],
  "density_g_cm3": 3.6,
  "e_above_lowest_polymorph_mev_per_atom": 0,
  "sg": "No. 123",
  "e_form_raw_ev_per_atom": -1.993
}


[12]
{
  "formula": "LaSOF2",
  "functional": "GGA-PBE",
  "state": "optimized geometry",
  "lattice": [[4.776, 0.000, 0.000], [0.000, 4.776, 0.000], [0.000, 0.000, 3.531]],
  "species": ["La", "S", "O", "F", "F"],
  "fractional_positions": [[0.000, 0.000, 0.000], [0.500, 0.500, 0.500], [0.500, 0.500, 0.000], [0.000, 0.500, 0.500], [0.500, 0.000, 0.500]],
  "density_g_cm3": 4.6,
  "e_above_lowest_polymorph_mev_per_atom": 512,
  "sg": "No. 123",
  "e_form_raw_ev_per_atom": -1.481
}


[13]
{
  "formula": "LaSiO2F",
  "functional": "GGA-PBE",
  "state": "optimized geometry",
  "lattice": [[4.670, 0.000, 0.000], [0.000, 4.670, 0.000], [0.000, 0.000, 4.520]],
  "species": ["La", "Si", "O", "O", "F"],
  "fractional_positions": [[0.000, 0.000, 0.000], [0.500, 0.500, 0.500], [0.000, 0.500, 0.000], [0.500, 0.000, 0.000], [0.000, 0.000, 0.500]],
  "density_g_cm3": 3.7,
  "sg": "No. 123",
  "e_form_raw_ev_per_atom": -1.515
}


[14]
{
  "formula": "LaSiOF2",
  "functional": "GGA-PBE",
  "state": "optimized geometry",
  "lattice": [[4.383, 0.000, 0.000], [0.000, 4.383, 0.000], [0.000, 0.000, 6.492]],
  "species": ["La", "Si", "O", "F", "F"],
  "fractional_positions": [[0.000, 0.000, 0.000], [0.000, 0.000, 0.500], [0.500, 0.500, 0.500], [0.000, 0.500, 0.000], [0.500, 0.000, 0.000]],
  "density_g_cm3": 2.9,
  "e_above_lowest_polymorph_mev_per_atom": 521,
  "sg": "No. 123",
  "e_form_raw_ev_per_atom": -1.495
}


[15]
{
  "formula": "LaSiO2F",
  "functional": "GGA-PBE",
  "state": "optimized geometry",
  "lattice": [[3.862, 0.000, 0.000], [0.000, 3.862, 0.000], [0.000, 0.000, 4.389]],
  "species": ["La", "Si", "O", "O", "F"],
  "fractional_positions": [[0.000, 0.000, 0.000], [0.500, 0.500, 0.500], [0.000, 0.500, 0.500], [0.500, 0.000, 0.500], [0.500, 0.500, 0.000]],
  "density_g_cm3": 5.5,
  "sg": "No. 123",
  "e_form_raw_ev_per_atom": -2.103
}


[16]
{
  "formula": "LaSiOF2",
  "functional": "GGA-PBE",
  "state": "optimized geometry",
  "lattice": [[4.655, 0.000, 0.000], [0.000, 4.655, 0.000], [0.000, 0.000, 4.720]],
  "species": ["La", "Si", "O", "F", "F"],
  "fractional_positions": [[0.000, 0.000, 0.000], [0.500, 0.500, 0.500], [0.000, 0.000, 0.500], [0.000, 0.500, 0.000], [0.500, 0.000, 0.000]],
  "density_g_cm3": 3.6,
  "e_above_lowest_polymorph_mev_per_atom": 0,
  "sg": "No. 123",
  "e_form_raw_ev_per_atom": -2.016
}


[17]
{
  "formula": "LaSiOF2",
  "functional": "GGA-PBE",
  "state": "optimized geometry",
  "lattice": [[4.645, 0.000, 0.000], [0.000, 4.645, 0.000], [0.000, 0.000, 3.566]],
  "species": ["La", "Si", "O", "F", "F"],
  "fractional_positions": [[0.000, 0.000, 0.000], [0.500, 0.500, 0.500], [0.500, 0.500, 0.000], [0.000, 0.500, 0.500], [0.500, 0.000, 0.500]],
  "density_g_cm3": 4.8,
  "e_above_lowest_polymorph_mev_per_atom": 46,
  "sg": "No. 123",
  "e_form_raw_ev_per_atom": -1.970
}


[18]
{
  "formula": "LaSnO2F",
  "functional": "GGA-PBE",
  "state": "optimized geometry",
  "lattice": [[4.690, 0.000, 0.000], [0.000, 4.690, 0.000], [0.000, 0.000, 4.559]],
  "species": ["La", "Sn", "O", "O", "F"],
  "fractional_positions": [[0.000, 0.000, 0.000], [0.500, 0.500, 0.500], [0.000, 0.500, 0.000], [0.500, 0.000, 0.000], [0.000, 0.000, 0.500]],
  "density_g_cm3": 5.1,
  "sg": "No. 123",
  "e_form_raw_ev_per_atom": -2.084
}


[19]
{
  "formula": "LaSnO2F",
  "functional": "GGA-PBE",
  "state": "optimized geometry",
  "lattice": [[4.370, 0.000, 0.000], [0.000, 4.370, 0.000], [0.000, 0.000, 4.410]],
  "species": ["La", "Sn", "O", "O", "F"],
  "fractional_positions": [[0.000, 0.000, 0.000], [0.500, 0.500, 0.500], [0.000, 0.500, 0.500], [0.500, 0.000, 0.500], [0.500, 0.500, 0.000]],
  "density_g_cm3": 6.1,
  "sg": "No. 123",
  "e_form_raw_ev_per_atom": -1.855
}


[20]
{
  "formula": "SrLaOF2",
  "functional": "GGA-PBE",
  "state": "optimized geometry",
  "lattice": [[4.535, 0.000, 0.000], [0.000, 4.535, 0.000], [0.000, 0.000, 4.836]],
  "species": ["Sr", "La", "O", "F", "F"],
  "fractional_positions": [[0.000, 0.000, 0.000], [0.500, 0.500, 0.500], [0.000, 0.000, 0.500], [0.000, 0.500, 0.000], [0.500, 0.000, 0.000]],
  "density_g_cm3": 4.7,
  "e_above_lowest_polymorph_mev_per_atom": 363,
  "sg": "No. 123",
  "e_form_raw_ev_per_atom": -2.615
}


[21]
{
  "formula": "SrLaOF2",
  "functional": "GGA-PBE",
  "state": "optimized geometry",
  "lattice": [[4.892, 0.000, 0.000], [0.000, 4.892, 0.000], [0.000, 0.000, 4.565]],
  "species": ["Sr", "La", "O", "F", "F"],
  "fractional_positions": [[0.000, 0.000, 0.000], [0.500, 0.500, 0.500], [0.500, 0.500, 0.000], [0.000, 0.500, 0.500], [0.500, 0.000, 0.500]],
  "density_g_cm3": 4.3,
  "e_above_lowest_polymorph_mev_per_atom": 0,
  "sg": "No. 123",
  "e_form_raw_ev_per_atom": -2.978
}


[22]
{
  "formula": "LaTcO4F",
  "functional": "GGA-PBE",
  "state": "optimized geometry",
  "lattice": [[5.021, -3.796, 0.000], [5.021, 3.796, 0.000], [-1.942, 0.000, 6.883]],
  "species": ["La", "La", "Tc", "Tc", "O", "O", "O", "O", "O", "O", "O", "O", "F", "F"],
  "fractional_positions": [[0.202, 0.202, 0.100], [0.798, 0.798, 0.900], [0.354, 0.354, 0.715], [0.646, 0.646, 0.285], [0.119, 0.475, 0.847], [0.261, 0.261, 0.469], [0.465, 0.465, 0.231], [0.475, 0.119, 0.847], [0.525, 0.881, 0.153], [0.535, 0.535, 0.769], [0.739, 0.739, 0.531], [0.881, 0.525, 0.153], [0.012, 0.012, 0.824], [0.988, 0.988, 0.176]],
  "density_g_cm3": 4.0,
  "sg": "No. 12",
  "e_form_raw_ev_per_atom": -2.422
}


[23]
{
  "formula": "LaTcOF2",
  "functional": "GGA-PBE",
  "state": "optimized geometry",
  "lattice": [[4.711, 0.000, 0.000], [0.000, 4.711, 0.000], [0.000, 0.000, 4.618]],
  "species": ["La", "Tc", "O", "F", "F"],
  "fractional_positions": [[0.000, 0.000, 0.000], [0.500, 0.500, 0.500], [0.000, 0.000, 0.500], [0.000, 0.500, 0.000], [0.500, 0.000, 0.000]],
  "density_g_cm3": 4.7,
  "e_above_lowest_polymorph_mev_per_atom": 0,
  "sg": "No. 123",
  "e_form_raw_ev_per_atom": -1.664
}


[24]
{
  "formula": "LaTcO4F2",
  "functional": "GGA-PBE",
  "state": "optimized geometry",
  "lattice": [[6.487, 0.000, 0.000], [0.000, 6.526, 0.000], [0.000, 0.000, 7.185]],
  "species": ["La", "La", "Tc", "Tc", "O", "O", "O", "O", "O", "O", "O", "O", "F", "F", "F", "F"],
  "fractional_positions": [[0.250, 0.250, 0.104], [0.750, 0.750, 0.896], [0.250, 0.750, 0.498], [0.750, 0.250, 0.502], [0.035, 0.750, 0.641], [0.250, 0.537, 0.355], [0.250, 0.963, 0.355], [0.465, 0.750, 0.641], [0.535, 0.250, 0.359], [0.750, 0.037, 0.645], [0.750, 0.463, 0.645], [0.965, 0.250, 0.359], [0.000, 0.000, 0.000], [0.000, 0.500, 0.000], [0.500, 0.000, 0.000], [0.500, 0.500, 0.000]],
  "density_g_cm3": 3.7,
  "sg": "No. 59",
  "e_form_raw_ev_per_atom": -2.502
}


[25]
{
  "formula": "La3TcO6F2",
  "functional": "GGA-PBE",
  "state": "optimized geometry",
  "lattice": [[5.864, -3.414, 0.000], [5.864, 3.414, 0.000], [-0.364, 0.000, 5.055]],
  "species": ["La", "La", "La", "Tc", "O", "O", "O", "O", "O", "O", "F", "F"],
  "fractional_positions": [[0.000, 0.000, 0.000], [0.000, 0.500, 0.500], [0.500, 0.000, 0.500], [0.500, 0.500, 0.500], [0.207, 0.662, 0.710], [0.338, 0.793, 0.290], [0.349, 0.349, 0.301], [0.651, 0.651, 0.699], [0.662, 0.207, 0.710], [0.793, 0.338, 0.290], [0.179, 0.179, 0.791], [0.821, 0.821, 0.209]],
  "density_g_cm3": 5.3,
  "sg": "No. 12",
  "e_form_raw_ev_per_atom": -2.779
}


[26]
{
  "formula": "LaTeO2F",
  "functional": "GGA-PBE",
  "state": "optimized geometry",
  "lattice": [[4.256, 0.000, 0.000], [0.000, 4.256, 0.000], [0.000, 0.000, 4.952]],
  "species": ["La", "Te", "O", "O", "F"],
  "fractional_positions": [[0.000, 0.000, 0.000], [0.500, 0.500, 0.500], [0.000, 0.500, 0.500], [0.500, 0.000, 0.500], [0.500, 0.500, 0.000]],
  "density_g_cm3": 5.9,
  "sg": "No. 123",
  "e_form_raw_ev_per_atom": -1.405
}


[27]
{
  "formula": "LaTeO2F",
  "functional": "GGA-PBE",
  "state": "optimized geometry",
  "lattice": [[4.740, 0.000, 0.000], [0.000, 4.740, 0.000], [0.000, 0.000, 4.511]],
  "species": ["La", "Te", "O", "O", "F"],
  "fractional_positions": [[0.000, 0.000, 0.000], [0.500, 0.500, 0.500], [0.000, 0.500, 0.000], [0.500, 0.000, 0.000], [0.000, 0.000, 0.500]],
  "density_g_cm3": 5.2,
  "sg": "No. 123",
  "e_form_raw_ev_per_atom": -1.621
}